Record 1
Compound: Ac6Ge2TeAs3
Source: Alexandria via LeMat-Bulk
Functional: PBE
Structure: optimized geometry

abc: 20.1185 4.5429 9.3196
angles: 90.00 103.59 90.00
Space group C2/m (No. 12)
Asymmetric unit:
1 Ac 0.0008 0.0000 0.2665 (multiplicity 4)
2 Ac 0.1671 0.5000 0.5864 (multiplicity 4)
3 Ac 0.1720 0.5000 0.0847 (multiplicity 4)
4 Ge 0.1657 0.0000 0.3318 (multiplicity 4)
5 Te 0.0000 0.5000 0.0000 (multiplicity 2)
6 As 0.0000 0.5000 0.5000 (multiplicity 2)
7 As 0.1635 0.0000 0.8341 (multiplicity 4)

Fermi-level density of states (states/eV/cell): 16.05
Uncorrected formation energy (kJ/mol of atoms): -117

Record 2
Compound: Ac6GeTe3As2
Source: Alexandria via LeMat-Bulk
Functional: PBE
Structure: optimized geometry

abc: 8.0129 13.8788 8.1787
angles: 90.00 109.04 90.00
Space group C2/m (No. 12)
Asymmetric unit:
1 Ac 0.2404 0.1657 0.2244 (multiplicity 8)
2 Ac 0.2434 0.5000 0.2247 (multiplicity 4)
3 Ge 0.0000 0.0000 0.0000 (multiplicity 2)
4 Te 0.0000 0.1673 0.5000 (multiplicity 4)
5 Te 0.0000 0.5000 0.5000 (multiplicity 2)
6 As 0.0000 0.3335 0.0000 (multiplicity 4)

Fermi-level density of states (states/eV/cell): 6.15
Uncorrected formation energy (kJ/mol of atoms): -141